VASP calculation (PBE-GGA) on a geometry-optimized Ca2CdSb structure.

E	-2.94	eV/atom
E above lowest polymorph	15	meV per atom
formation energy from raw total energies	-15.63	kcal/mol of atoms
V	113.70	Å³/f.u.

a b c (Å): 5.1535 4.2824 5.1520
angles (deg): 90.00 90.00 90.00
Sites, in units of the cell vectors:
1 Sb 0.5000 0.6251 0.8748
2 Ca 0.0000 0.1253 0.8751
3 Ca 0.5000 0.1246 0.3750
4 Cd 0.0000 0.6250 0.3752